Material: ScMn3Se
Method: DFT, GGA-PBE
State: relaxed

Values from the calculation:
* formation energy without anion corrections: 1.29 eV per atom

Lattice parameters (Å, degrees): 4.7323 4.7323 4.7323 90.00 90.00 90.00
Closest atoms and distances in Å follow each position.
Positions (direct):
Sc 0.0000 0.0000 0.0000  6 Mn 2.37
Mn 0.0000 0.0000 0.5000  2 Sc 2.37
Mn 0.0000 0.5000 0.0000  2 Sc 2.37
Mn 0.5000 0.0000 0.0000  2 Sc 2.37
Se 0.5000 0.5000 0.5000  12 Mn 3.35

Material: CdPSe
Method: DFT, GGA-PBE
State: relaxed

Values from the calculation:
* formation energy without anion corrections: 0.47 eV per atom

Lattice parameters (Å, degrees): 7.9738 7.8945 2.9474 80.81 77.79 21.40
Closest atoms and distances in Å follow each position.
Positions (direct):
Cd 0.0000 0.0000 0.0000  4 P 2.78-3.00, 4 Cd 2.95, 2 Se 2.99
P 0.6309 0.6309 0.3691  4 Cd 2.78-3.00, 4 P 2.95
Se 0.3504 0.3504 0.6496  4 Se 2.95, 4 Cd 2.99-3.20

Material: Ce3UO
Method: DFT, GGA-PBE
State: relaxed

Values from the calculation:
* formation energy without anion corrections: -0.90 eV per atom

Lattice parameters (Å, degrees): 4.8283 4.8283 4.8283 90.00 90.00 90.00
Closest atoms and distances in Å follow each position.
Positions (direct):
Ce 0.0000 0.0000 0.5000  2 O 2.41
Ce 0.0000 0.5000 0.0000  2 O 2.41
Ce 0.5000 0.0000 0.0000  2 O 2.41
U 0.5000 0.5000 0.5000  12 Ce 3.41
O 0.0000 0.0000 0.0000  6 Ce 2.41

Material: PmCo2
Method: DFT, GGA-PBE
State: relaxed

Values from the calculation:
* calculated formation energy: -0.20 eV/f.u.

Lattice parameters (Å, degrees): 5.1551 5.1551 5.1551 60.00 60.00 60.00
Closest atoms and distances in Å follow each position.
Positions (direct):
Pm 0.1250 0.1250 0.1250  12 Co 3.02, 4 Pm 3.16
Pm 0.8750 0.8750 0.8750  12 Co 3.02, 4 Pm 3.16
Co 0.0000 0.5000 0.5000  6 Co 2.58
Co 0.5000 0.0000 0.5000  6 Co 2.58
Co 0.5000 0.5000 0.0000  6 Co 2.58
Co 0.5000 0.5000 0.5000  6 Co 2.58

Material: Sm4Ga16Ru3
Method: DFT, GGA-PBE
State: relaxed

Values from the calculation:
* calculated formation energy: -12.59 eV/f.u.

Lattice parameters (Å, degrees): 6.1696 6.1696 11.4092 90.00 90.00 90.00
Closest atoms and distances in Å follow each position.
Positions (direct):
Sm 0.0000 0.5000 0.1923  12 Ga 3.08-3.11
Sm 0.0000 0.5000 0.8077  12 Ga 3.08-3.11
Sm 0.5000 0.0000 0.1923  12 Ga 3.08-3.11
Sm 0.5000 0.0000 0.8077  12 Ga 3.08-3.11
Ga 0.0000 0.0000 0.1971  8 Ga 2.92-3.05, 4 Sm 3.09
Ga 0.0000 0.0000 0.8029  8 Ga 2.92-3.05, 4 Sm 3.09
Ga 0.2140 0.2140 0.0000  1 Ru 2.50, 2 Ga 2.64
Ga 0.2140 0.7860 0.0000  1 Ru 2.50, 2 Ga 2.64
Ga 0.2515 0.2515 0.3825  2 Ru 2.56, 2 Ga 2.68-2.85
Ga 0.2515 0.2515 0.6175  2 Ru 2.56, 2 Ga 2.68-2.85
Ga 0.2515 0.7485 0.3825  2 Ru 2.56, 2 Ga 2.68-2.85
Ga 0.2515 0.7485 0.6175  2 Ru 2.56, 2 Ga 2.68-2.85
Ga 0.5000 0.5000 0.2202  1 Ru 2.51
Ga 0.5000 0.5000 0.7798  1 Ru 2.51
Ga 0.7485 0.2515 0.3825  2 Ru 2.56, 2 Ga 2.68-2.85
Ga 0.7485 0.2515 0.6175  2 Ru 2.56, 2 Ga 2.68-2.85
Ga 0.7485 0.7485 0.3825  2 Ru 2.56, 2 Ga 2.68-2.85
Ga 0.7485 0.7485 0.6175  2 Ru 2.56, 2 Ga 2.68-2.85
Ga 0.7860 0.2140 0.0000  1 Ru 2.50, 2 Ga 2.64
Ga 0.7860 0.7860 0.0000  1 Ru 2.50, 2 Ga 2.64
Ru 0.0000 0.5000 0.5000  8 Ga 2.56
Ru 0.5000 0.0000 0.5000  8 Ga 2.56
Ru 0.5000 0.5000 0.0000  6 Ga 2.50-2.51

Material: CePu2NpS4
Method: DFT, GGA-PBE
State: relaxed

Values from the calculation:
* formation energy without anion corrections: -1.72 eV per atom

Lattice parameters (Å, degrees): 6.8628 3.9468 6.8769 90.00 109.77 90.00
Closest atoms and distances in Å follow each position.
Positions (direct):
Ce 0.0000 0.0000 0.0000  6 S 2.82-2.83
Pu 0.0000 0.5000 0.5000  6 S 2.80-2.81
Pu 0.5000 0.0000 0.5000  6 S 2.77-2.79
Np 0.5000 0.5000 0.0000  6 S 2.78-2.81
S 0.2534 0.0000 0.7505  2 Np 2.78, 3 Pu 2.79-2.80, 1 Ce 2.83
S 0.2546 0.5000 0.2541  3 Pu 2.77-2.81, 1 Np 2.81, 2 Ce 2.82
S 0.7454 0.5000 0.7459  3 Pu 2.77-2.81, 1 Np 2.81, 2 Ce 2.82
S 0.7466 0.0000 0.2495  2 Np 2.78, 3 Pu 2.79-2.80, 1 Ce 2.83

no.,calculated total energy (eV/atom)
1,-6.174
2,-2.797
3,-7.709
4,-6.388
5,-4.684
6,-9.723